# 1
{
  "formula": "Sc2MnAs",
  "functional": "GGA-PBE",
  "state": "optimized geometry",
  "space_group": "No. 123",
  "dos_ef_per_ev_atom": 0.795,
  "formation_enthalpy_0k_mev_per_atom": -519,
  "cell": [[3.4586, 0.0000, 0.0000], [0.0000, 3.4586, 0.0000], [0.0000, 0.0000, 6.0704]],
  "species": ["Sc", "Sc", "Mn", "As"],
  "fractional_positions": [[0.0000, 0.0000, 0.2452], [0.0000, 0.0000, 0.7548], [0.5000, 0.5000, 0.5000], [0.5000, 0.5000, 0.0000]]
}

---

# 2
{
  "formula": "IrPtCl2",
  "functional": "GGA-PBE",
  "state": "optimized geometry",
  "space_group": "No. 122",
  "dos_ef_per_ev_atom": 0.995,
  "e_above_lowest_polymorph_mev_per_atom": 815,
  "cell": [[-3.4812, 3.4812, 2.9143], [3.4812, -3.4812, 2.9143], [3.4812, 3.4812, -2.9143]],
  "species": ["Ir", "Ir", "Pt", "Pt", "Cl", "Cl", "Cl", "Cl"],
  "fractional_positions": [[0.0000, 0.0000, 0.0000], [0.7500, 0.2500, 0.5000], [0.2500, 0.7500, 0.5000], [0.5000, 0.5000, 0.0000], [0.0817, 0.6250, 0.9567], [0.3750, 0.3317, 0.4567], [0.6683, 0.1250, 0.0433], [0.8750, 0.9183, 0.5433]]
}

---

# 3
{
  "formula": "BaMg15",
  "functional": "GGA-PBE",
  "state": "optimized geometry",
  "space_group": "No. 187",
  "dos_ef_per_ev_atom": 0.546,
  "formation_enthalpy_0k_mev_per_atom": 68,
  "cell": [[6.6647, 0.0000, 0.0000], [-3.3323, 5.7718, 0.0000], [0.0000, 0.0000, 10.5545]],
  "species": ["Ba", "Mg", "Mg", "Mg", "Mg", "Mg", "Mg", "Mg", "Mg", "Mg", "Mg", "Mg", "Mg", "Mg", "Mg", "Mg"],
  "fractional_positions": [[0.0000, 0.0000, 0.0000], [0.0000, 0.0000, 0.5000], [0.0162, 0.5081, 0.0000], [0.1715, 0.3429, 0.2622], [0.1715, 0.3429, 0.7378], [0.1715, 0.8285, 0.2622], [0.1715, 0.8285, 0.7378], [0.4919, 0.5081, 0.0000], [0.4919, 0.9838, 0.0000], [0.5029, 0.0057, 0.5000], [0.5029, 0.4971, 0.5000], [0.6571, 0.8285, 0.2622], [0.6571, 0.8285, 0.7378], [0.6667, 0.3333, 0.2391], [0.6667, 0.3333, 0.7609], [0.9943, 0.4971, 0.5000]]
}